Here is BaTaP2 after structural relaxation from Alexandria via LeMat-Bulk. Energies are from PBE-GGA.

```
BaTaP2
1.0
-1.041 4.476 6.280
-5.509 3.099 4.540
3.461 -5.771 -3.909
Ba P Ta
1 2 1
Cartesian
-0.127 0.899 3.395 Ba
-0.091 0.105 0.150 P
-3.188 1.166 3.890 P
-2.958 3.421 4.887 Ta
```

Output
**Calculated formation energy**: -0.5514 eV per atom
**Total DFT energy (no corrections)**: -6.700 eV/atom
**Energy above the most stable polymorph in this dataset**: 185 meV/atom
**DOS(E_F)**: 0.671 states/eV/atom

---

Here is BaTa2P after structural relaxation from Alexandria via LeMat-Bulk. Energies are from PBE-GGA.

```
BaTa2P
1.0
-3.234 -0.236 1.312
1.477 -3.845 2.946
1.177 3.103 3.459
Ba P Ta
1 1 2
Cartesian
-1.029 1.433 2.386 Ba
1.327 -0.371 3.203 P
0.000 0.000 0.000 Ta
-0.879 -2.041 2.129 Ta
```

Output
**Calculated formation energy**: 0.9072 eV per atom
**Total DFT energy (no corrections)**: -6.852 eV/atom
**DOS(E_F)**: 1.122 states/eV/atom

---

Here is Ba3TaP after structural relaxation from Alexandria via LeMat-Bulk. Energies are from PBE-GGA.

```
Ba3TaP
1.0
-4.448 1.986 -3.802
2.657 -3.025 -4.688
-3.368 -5.009 1.324
P Ba Ta
1 3 1
Cartesian
0.000 0.000 0.000 P
1.328 -1.512 -2.344 Ba
-1.684 -2.505 0.662 Ba
-2.224 0.993 -1.901 Ba
-2.579 -3.024 -3.583 Ta
```

Output
**Calculated formation energy**: 0.5164 eV per atom
**Total DFT energy (no corrections)**: -4.090 eV/atom
**Energy above the most stable polymorph in this dataset**: 0 meV/atom
**DOS(E_F)**: 0.396 states/eV/atom

---

Here is BaTa2P after structural relaxation from Alexandria via LeMat-Bulk. Energies are from PBE-GGA.

```
BaTa2P
1.0
3.422 0.000 0.000
0.000 3.421 0.000
0.000 0.000 7.881
Ba P Ta
1 1 2
Cartesian
0.000 0.000 4.093 Ba
1.711 1.711 6.563 P
0.000 0.000 7.718 Ta
1.711 1.711 1.329 Ta
```

Output
**Calculated formation energy**: 0.0419 eV per atom
**Total DFT energy (no corrections)**: -7.718 eV/atom
**DOS(E_F)**: 1.290 states/eV/atom

---

Here is BaTaP2 after structural relaxation from Alexandria via LeMat-Bulk. Energies are from PBE-GGA.

```
BaTaP2
1.0
-4.689 1.250 3.151
1.332 -3.244 4.603
1.527 4.715 -2.986
Ba P Ta
1 2 1
Cartesian
-2.420 2.484 2.021 Ba
-0.177 -0.105 0.410 P
-1.501 -0.892 3.467 P
0.590 0.237 2.747 Ta
```

Output
**Calculated formation energy**: -0.2574 eV per atom
**Total DFT energy (no corrections)**: -6.406 eV/atom
**Energy above the most stable polymorph in this dataset**: 479 meV/atom
**DOS(E_F)**: 0.358 states/eV/atom

---

Here is BaTa2P after structural relaxation from Alexandria via LeMat-Bulk. Energies are from PBE-GGA.

```
BaTa2P
1.0
-1.670 2.728 -1.034
-2.888 -1.378 1.029
0.962 3.274 7.086
Ba P Ta
1 1 2
Cartesian
-2.038 1.494 1.769 Ba
-1.557 3.131 5.312 P
0.874 2.977 6.442 Ta
0.568 1.935 4.187 Ta
```

Output
**Calculated formation energy**: 0.2939 eV per atom
**Total DFT energy (no corrections)**: -7.466 eV/atom
**DOS(E_F)**: 0.792 states/eV/atom

---

Here is BaTaP after structural relaxation from Alexandria via LeMat-Bulk. Energies are from PBE-GGA.

```
BaTaP
1.0
4.828 0.000 0.000
2.414 4.181 0.000
2.414 1.394 3.942
Ba P Ta
1 1 1
Cartesian
4.828 2.787 1.971 Ba
7.242 4.181 2.957 P
0.000 0.000 0.000 Ta
```

Output
**Calculated formation energy**: 0.6658 eV per atom
**Total DFT energy (no corrections)**: -5.729 eV/atom
**Energy above the most stable polymorph in this dataset**: 1392 meV/atom
**DOS(E_F)**: 0.644 states/eV/atom

---

Here is BaTa2P after structural relaxation from Alexandria via LeMat-Bulk. Energies are from PBE-GGA.

```
BaTa2P
1.0
9.034 0.014 0.009
8.328 3.501 0.009
8.328 1.686 3.068
Ba P Ta
1 1 2
Cartesian
6.422 1.300 0.771 Ba
19.267 3.901 2.314 P
0.887 0.179 0.106 Ta
11.958 2.421 1.436 Ta
```

Output
**Calculated formation energy**: 0.2412 eV per atom
**Total DFT energy (no corrections)**: -7.518 eV/atom
**DOS(E_F)**: 0.812 states/eV/atom

---

Here is BaTaTcP2 after structural relaxation from Alexandria via LeMat-Bulk. Energies are from PBE-GGA.

```
BaTaTcP2
1.0
4.827 0.000 0.000
0.000 5.937 0.000
0.000 0.000 4.827
Tc P Ba Ta
1 2 1 1
Cartesian
2.413 2.969 2.413 Tc
0.000 0.000 2.413 P
2.413 0.000 0.000 P
0.000 2.969 0.000 Ba
0.000 0.000 0.000 Ta
```

Output
**Calculated formation energy**: 1.1198 eV per atom
**Total DFT energy (no corrections)**: -5.872 eV/atom
**DOS(E_F)**: 1.190 states/eV/atom

---

Here is BaZrTa2P after structural relaxation from Alexandria via LeMat-Bulk. Energies are from PBE-GGA.

```
BaZrTa2P
1.0
5.068 0.000 0.000
0.000 5.247 0.000
0.000 0.000 5.068
P Ba Zr Ta
1 1 1 2
Cartesian
2.534 2.623 2.534 P
0.000 0.000 0.000 Ba
0.000 2.623 0.000 Zr
0.000 0.000 2.534 Ta
2.534 0.000 0.000 Ta
```

Output
**Calculated formation energy**: 2.7623 eV per atom
**Total DFT energy (no corrections)**: -5.155 eV/atom
**Energy above the most stable polymorph in this dataset**: 2360 meV/atom
**DOS(E_F)**: 0.882 states/eV/atom

---

Here is BaZrTa2P after structural relaxation from Alexandria via LeMat-Bulk. Energies are from PBE-GGA.

```
BaZrTa2P
1.0
-4.659 1.123 0.333
-0.010 -1.511 4.958
1.171 4.456 1.361
P Ba Zr Ta
1 1 1 2
Cartesian
0.000 0.000 0.000 P
-1.749 2.034 3.326 Ba
-0.005 -0.756 2.479 Zr
0.586 2.228 0.680 Ta
-2.329 0.562 0.167 Ta
```

Output
**Calculated formation energy**: 0.4026 eV per atom
**Total DFT energy (no corrections)**: -7.515 eV/atom
**Energy above the most stable polymorph in this dataset**: 0 meV/atom
**DOS(E_F)**: 1.705 states/eV/atom

---

Here is BaTbP after structural relaxation from Alexandria via LeMat-Bulk. Energies are from PBE-GGA.

```
BaTbP
1.0
4.168 0.000 0.000
-2.084 3.609 0.000
0.000 0.000 14.650
P Tb Ba
2 2 2
Cartesian
2.084 0.797 0.000 P
0.000 2.010 7.325 P
2.084 0.808 5.707 Tb
2.084 0.808 8.943 Tb
0.000 1.999 12.745 Ba
0.000 1.999 1.905 Ba
```

Output
**Calculated formation energy**: -0.5704 eV per atom
**Total DFT energy (no corrections)**: -4.558 eV/atom
**DOS(E_F)**: 0.860 states/eV/atom

---

What is the formula in the sixth record? BaTa2P

---

What is the calculated formation energy in the sixth record? 0.2939 eV per atom

---

What is the calculated formation energy in the twelfth record? -0.5704 eV per atom

---

Among the records above, which one has the lowest total DFT energy (no corrections)? number 4